Entry 1:
## VCrTcOs (PBE)

Data for an optimized crystal structure of VCrTcOs.

Output
- formation enthalpy at 0 K (eV per atom) = -0.096
- final energy (eV/cell) = -162.9

Unit cell a=6.014 b=6.014 c=6.014 alpha=90.00 beta=90.00 gamma=90.00
Space group F-43m (No. 216)
One atom of each set of equivalent atoms:
V: 0.000 0.000 0.000 [4 per cell]
Cr: 0.000 0.000 0.500 [4 per cell]
Tc: 0.250 0.250 0.750 [4 per cell]
Os: 0.250 0.250 0.250 [4 per cell]

Entry 2:
## CrTc2OsW (PBE)

Data for an optimized crystal structure of CrTc2OsW.

Output
- formation enthalpy at 0 K (eV per atom) = 2.266
- final energy (eV/cell) = -43.2

Unit cell a=4.626 b=4.626 c=4.687 alpha=90.00 beta=90.00 gamma=90.00
Space group P4/mmm (No. 123)
One atom of each set of equivalent atoms:
Cr: 0.000 0.000 0.000 [1 per cell]
Tc: 0.000 0.500 0.500 [2 per cell]
Os: 0.500 0.500 0.000 [1 per cell]
W: 0.500 0.500 0.500 [1 per cell]